# 1
A relaxed structure of La8CoOs2, computed with GGA-PBE.

Cell lengths 12.401, 8.997, 6.663 Å; angles 90.00, 104.99, 90.00 degrees
Space group C2/m (No. 12)
Symmetry-distinct sites (fractional):
La (0.084, 0.000, 0.269) x4
La (0.138, 0.297, 0.778) x8
La (0.149, 0.500, 0.281) x4
Co (0.000, 0.500, 0.500) x2
Os (0.181, 0.000, 0.930) x4

Summary:
DFT formation energy ... -0.106 eV/atom

***

# 2
A relaxed structure of LaPrGd2, computed with GGA-PBE.

Cell lengths 3.667, 3.667, 10.278 Å; angles 90.00, 90.00, 90.00 degrees
Space group P4/mmm (No. 123)
Symmetry-distinct sites (fractional):
La (0.000, 0.000, 0.000) x1
Pr (0.000, 0.000, 0.500) x1
Gd (0.500, 0.500, 0.252) x2

Summary:
DFT formation energy ... 0.018 eV/atom
ΔE to the lowest computed polymorph ... 1.4 meV per atom

***

# 3
A relaxed structure of Al2TcMo, computed with GGA-PBE.

Cell lengths 6.186, 6.186, 6.186 Å; angles 90.00, 90.00, 90.00 degrees
Space group Fm-3m (No. 225)
Symmetry-distinct sites (fractional):
Al (0.250, 0.250, 0.250) x8
Tc (0.000, 0.000, 0.000) x4
Mo (0.000, 0.000, 0.500) x4

Summary:
DFT formation energy ... -0.084 eV/atom
ΔE to the lowest computed polymorph ... 277.2 meV per atom

***

# 4
A relaxed structure of MgFe2Re2, computed with GGA-PBE.

Cell lengths 3.938, 3.938, 9.840 Å; angles 90.00, 90.00, 90.00 degrees
Space group I4/mmm (No. 139)
Symmetry-distinct sites (fractional):
Mg (0.000, 0.000, 0.000) x2
Fe (0.000, 0.000, 0.393) x4
Re (0.000, 0.500, 0.250) x4

Summary:
DFT formation energy ... 0.282 eV/atom
ΔE to the lowest computed polymorph ... 92.2 meV per atom

***

# 5
A relaxed structure of BeTcPd2, computed with GGA-PBE.

Cell lengths 2.723, 2.723, 7.042 Å; angles 90.00, 90.00, 90.00 degrees
Space group P4/mmm (No. 123)
Symmetry-distinct sites (fractional):
Be (0.000, 0.000, 0.000) x1
Tc (0.000, 0.000, 0.500) x1
Pd (0.500, 0.500, 0.208) x2

Summary:
DFT formation energy ... -0.226 eV/atom

***

# 6
A relaxed structure of CsUNiS3, computed with GGA-PBE.

Cell lengths 9.397, 3.914, 9.560 Å; angles 90.00, 113.97, 90.00 degrees
Space group P2_1/m (No. 11)
Symmetry-distinct sites (fractional):
Cs (0.214, 0.250, 0.255) x2
U (0.316, 0.750, 0.837) x2
Ni (0.083, 0.250, 0.597) x2
S (0.131, 0.250, 0.851) x2
S (0.179, 0.750, 0.542) x2
S (0.475, 0.750, 0.150) x2

Summary:
Formation energy without anion corrections ... -7.14 eV/f.u.

***

# 7
A relaxed structure of Pb5Br3, computed with GGA-PBE.

Cell lengths 3.569, 8.665, 8.809 Å; angles 90.00, 94.38, 90.00 degrees
Space group Pm (No. 6)
Symmetry-distinct sites (fractional):
Pb (0.000, 0.000, 0.000) x1
Pb (0.485, 0.239, 0.761) x2
Pb (0.510, 0.238, 0.239) x2
Br (0.446, 0.500, 0.498) x1
Br (0.546, 0.000, 0.501) x1
Br (0.551, 0.500, 0.001) x1

Summary:
ΔE to the lowest computed polymorph ... 0.0 meV per atom
Formation energy without anion corrections ... -2.71 eV/f.u.

***

# 8
A relaxed structure of K2BeFe, computed with GGA-PBE.

Cell lengths 3.890, 3.890, 22.297 Å; angles 90.00, 90.00, 90.00 degrees
Space group I-42d (No. 122)
Symmetry-distinct sites (fractional):
K (0.249, 0.250, 0.125) x8
Be (0.000, 0.000, 0.500) x4
Fe (0.000, 0.000, 0.000) x4

Summary:
DFT formation energy ... 1.631 eV/atom